First-principles (PBE) data for a relaxed structure of SrAgOs2, as listed in Alexandria via LeMat-Bulk.

Output
Energy above the lowest structure with this stoichiometry (meV per atom): 0

Cell: 2.8854 3.7629 7.4566 Å, 90.00 90.11 90.00°
With the nearest neighbours (Å) after each atom.
Space group Pm (No. 6)
One atom of each set of equivalent atoms:
Sr 0.0000 0.0000 0.0000  2 Sr 2.89
Ag 0.4979 0.5000 0.3096  5 Os 2.82-2.99, 2 Ag 2.89
Os 0.4994 0.5000 0.6878  4 Os 2.57, 1 Ag 2.82
Os 0.9982 0.0000 0.5540  4 Os 2.57

First-principles (PBE) data for a relaxed structure of SrAgOs2, as listed in Alexandria via LeMat-Bulk.

Output
Energy above the lowest structure with this stoichiometry (meV per atom): 1046

Cell: 6.7274 6.7274 6.7274 Å, 90.00 90.00 90.00°
With the nearest neighbours (Å) after each atom.
Space group Fm-3m (No. 225)
One atom of each set of equivalent atoms:
Sr 0.0000 0.0000 0.0000  8 Os 2.91
Ag 0.0000 0.0000 0.5000  8 Os 2.91
Os 0.2500 0.2500 0.2500  4 Sr 2.91, 4 Ag 2.91

First-principles (PBE) data for a relaxed structure of Sr2AgOs, as listed in Alexandria via LeMat-Bulk.

Cell: 3.5426 5.2316 11.4981 Å, 90.00 90.00 90.00°
With the nearest neighbours (Å) after each atom.
Space group Imm2 (No. 44)
One atom of each set of equivalent atoms:
Sr 0.0000 0.0000 0.0000  4 Os 3.18, 4 Sr 3.50-3.54
Sr 0.0000 0.5000 0.2020  2 Os 3.25, 4 Ag 3.29, 4 Sr 3.50-3.54
Ag 0.0000 0.5000 0.7830  2 Os 2.74
Os 0.0000 0.0000 0.4650  2 Ag 2.74

First-principles (PBE) data for a relaxed structure of Sr2AgOs, as listed in Alexandria via LeMat-Bulk.

Cell: 3.4253 5.5114 5.5093 Å, 90.00 90.00 90.00°
With the nearest neighbours (Å) after each atom.
Space group Pmm2 (No. 25)
One atom of each set of equivalent atoms:
Sr 0.0000 0.0000 0.0000  4 Os 3.24, 4 Ag 3.24, 2 Sr 3.43
Sr 0.0000 0.5000 0.4988  4 Ag 3.24-3.25, 4 Os 3.24, 2 Sr 3.43
Ag 0.5000 0.5000 0.9981  8 Sr 3.24-3.25, 2 Ag 3.43
Os 0.5000 0.0000 0.5001  8 Sr 3.24, 2 Os 3.43

First-principles (PBE) data for a relaxed structure of Sr2AgOs, as listed in Alexandria via LeMat-Bulk.

Cell: 4.5580 4.5580 9.6802 Å, 90.00 90.00 90.00°
With the nearest neighbours (Å) after each atom.
Space group I-4m2 (No. 119)
One atom of each set of equivalent atoms:
Sr 0.0000 0.0000 0.0000  4 Os 3.22, 4 Sr 3.32, 4 Ag 3.32
Sr 0.0000 0.5000 0.2500  4 Ag 3.22, 4 Sr 3.32, 4 Os 3.32
Ag 0.0000 0.5000 0.7500  8 Sr 3.22-3.32, 4 Os 3.32
Os 0.0000 0.0000 0.5000  8 Sr 3.22-3.32, 4 Ag 3.32

First-principles (PBE) data for a relaxed structure of SrAgOs2, as listed in Alexandria via LeMat-Bulk.

Output
Energy above the lowest structure with this stoichiometry (meV per atom): 38

Cell: 2.9847 2.9847 8.5248 Å, 90.00 90.00 90.00°
With the nearest neighbours (Å) after each atom.
Space group P4mm (No. 99)
One atom of each set of equivalent atoms:
Sr 0.0000 0.0000 0.0000  4 Sr 2.98, 4 Os 3.22, 4 Ag 3.34
Ag 0.5000 0.5000 0.3040  4 Os 2.91, 4 Ag 2.98
Os 0.0000 0.0000 0.5388  4 Os 2.59
Os 0.5000 0.5000 0.7153  4 Os 2.59

no.,DFT formation energy (meV/atom)
1,469.8
2,1515.6
3,496.5
4,472.0
5,616.8
6,508.1